Material: Ce4Ag2Hg5
Method: DFT, GGA-PBE
State: optimized geometry

The calculation puts the total DFT energy (no corrections) at -3.041 eV per atom. The formation energy is -227 meV per atom.

```
data_Ce4Ag2Hg5
_space_group_name_H-M_alt 'P 1 2/m 1'
_space_group_IT_number 10
_space_group_name_Hall '-P 2y'
_cell_length_a 8.044
_cell_length_b 3.372
_cell_length_c 10.415
_cell_angle_alpha 90.00
_cell_angle_beta 95.33
_cell_angle_gamma 90.00
loop_
_atom_site_label
_atom_site_type_symbol
_atom_site_fract_x
_atom_site_fract_y
_atom_site_fract_z
Ce1 Ce 0.166 0.000 0.385
Ce2 Ce 0.277 0.000 0.945
Ag1 Ag 0.059 0.500 0.132
Hg1 Hg 0.187 0.500 0.665
Hg2 Hg 0.433 0.500 0.202
Hg3 Hg 0.500 0.500 0.500
```